First-principles (GGA-PBE) data for crystalline TlAs6Pd12 at its relaxed geometry, as listed in the Alexandria database.

Lattice parameters (Å, degrees): 11.7855 11.7855 8.4949 90.00 90.00 120.00
Space group R-3m (No. 166, hexagonal axes)
One atom of each set of equivalent atoms:
Tl: 0.0000 0.0000 0.0000
As: 0.0462 0.5231 0.2710
Pd: 0.0000 0.3755 0.5000
Pd: 0.0849 0.1698 0.3372

Summary:
VASP energy in eV per formula unit: -97.90
Magnetization in μB per cell: 0.0
Formation energy from the elements in meV/atom: -280